1.
A plane-wave DFT calculation with PBE was carried out for a relaxed structure of BaTaMn2.

Cell and atoms, written as POSCAR:
```
BaTaMn2
1.0
9.574 0.016 0.010
9.006 3.249 0.010
9.006 1.583 2.837
Ba Mn Ta
1 2 1
Direct
0.750 0.750 0.750
0.981 0.981 0.981
0.519 0.519 0.519
0.250 0.250 0.250
```

Computed properties:
Energy relative to the elements, eV/atom: 0.80
Polymorph energy (0 for the lowest one), eV/f.u.: 0.96
Space group: R-3m

2.
A plane-wave DFT calculation with PBE was carried out for a relaxed structure of AcNdGaOs.

Cell and atoms, written as POSCAR:
```
AcNdGaOs
1.0
-0.131 -1.824 4.908
3.949 -2.924 1.813
3.261 1.949 3.606
Nd Ac Os Ga
1 1 1 1
Direct
0.500 0.500 0.500
0.000 0.000 0.000
0.750 0.750 0.750
0.250 0.250 0.250
```

Computed properties:
Energy relative to the elements, eV/atom: -0.07
Space group: F-43m